(1)
Material: P2NCl
Method: DFT, PBE
State: optimized geometry

The structure in POSCAR format:
```
P2NCl
1.0
0.0000 3.0013 3.0013
3.0013 0.0000 3.0013
3.0013 3.0013 0.0000
P N Cl
2 1 1
Cartesian
1.5007 1.5007 1.5007
4.5020 4.5020 4.5020
0.0000 0.0000 0.0000
3.0013 3.0013 3.0013
```

Results
- formation energy without anion corrections (meV per atom) = 1698
- crystal system = cubic
- density (g cm⁻³) = 3.421
- energy above the most stable polymorph in this dataset (meV/atom) = 1026

(2)
Material: PN2Cl
Method: DFT, PBE
State: optimized geometry

The structure in POSCAR format:
```
PN2Cl
1.0
1.4336 0.8277 5.8972
-1.4336 0.8277 5.8972
0.0000 -1.6554 5.8972
P N Cl
1 2 1
Cartesian
0.0000 0.0000 0.0000
0.0000 0.0000 6.8068
0.0000 0.0000 10.8848
0.0000 0.0000 8.8458
```

Results
- formation energy without anion corrections (meV per atom) = 558
- crystal system = trigonal
- density (g cm⁻³) = 3.735
- energy above the most stable polymorph in this dataset (meV/atom) = 20

(3)
Material: P4N3Cl11
Method: DFT, PBE
State: optimized geometry

The structure in POSCAR format:
```
P4N3Cl11
1.0
15.3250 0.0000 0.0000
0.0000 11.8236 0.0000
-6.2158 0.0000 13.5685
P N Cl
16 12 44
Cartesian
0.9315 2.3428 1.6312
-2.1764 9.4808 8.4155
2.5784 4.7023 0.9674
-0.5295 7.1214 7.7516
-0.9053 4.4148 13.4935
2.2026 7.4088 6.7093
0.3198 2.3270 11.8202
3.4278 9.4967 5.0360
5.6814 2.3270 8.5325
8.7893 9.4967 1.7483
6.9065 4.4148 6.8592
10.0144 7.4088 0.0749
9.6386 4.7023 5.8168
6.5307 7.1214 12.6011
11.2855 2.3428 5.1530
8.1776 9.4808 11.9372
1.3184 3.7591 1.0932
-1.7895 8.0645 7.8774
3.7946 4.0667 0.1861
0.6867 7.7569 6.9703
-0.2863 3.7179 12.2172
2.8216 8.1057 5.4330
6.2875 3.7179 8.1355
9.3954 8.1057 1.3513
8.4224 4.0667 6.5981
5.3145 7.7569 13.3824
10.8986 3.7591 5.6911
7.7907 8.0645 12.4753
-2.1741 1.9547 5.7495
-5.2820 9.8689 12.5337
-1.1789 5.4531 6.8533
1.9290 6.3706 0.0690
2.0940 0.8425 0.9791
-1.0139 10.9811 7.7633
0.9365 2.1919 3.6332
-2.1714 9.6317 10.4175
0.7741 1.6696 6.7600
-2.3338 10.1540 13.5442
3.1249 5.3625 2.8055
0.0170 6.4612 9.5897
0.4278 2.1926 9.8332
3.5357 9.6311 3.0490
-0.7294 0.7413 12.4660
2.3785 11.0823 5.6817
2.4860 5.4307 6.4849
-0.6219 6.3929 13.2692
6.4025 3.9683 1.5780
3.2946 7.8553 8.3623
3.8073 2.0580 7.8554
6.9152 9.7656 1.0712
2.1939 2.0580 12.4973
5.3018 9.7656 5.7130
5.8145 3.9683 5.2062
2.7066 7.8553 11.9904
9.7310 5.4307 0.2993
6.6231 6.3929 7.0835
6.7306 0.7413 7.8867
9.8385 11.0823 1.1025
5.5734 2.1926 10.5194
8.6813 9.6311 3.7352
9.0922 5.3625 3.9787
5.9843 6.4612 10.7629
11.4430 1.6696 0.0243
8.3350 10.1540 6.8085
11.2805 2.1919 3.1510
8.1726 9.6317 9.9352
10.1230 0.8425 5.8052
7.0151 10.9811 12.5894
7.1801 5.4531 13.4994
10.2880 6.3706 6.7152
14.3911 1.9547 1.0347
11.2832 9.8689 7.8189
```

Results
- formation energy without anion corrections (meV per atom) = -592
- crystal system = monoclinic
- density (g cm⁻³) = 1.502
- energy above the most stable polymorph in this dataset (meV/atom) = 0

(4)
Material: PNCl2
Method: DFT, PBE
State: optimized geometry

The structure in POSCAR format:
```
PNCl2
1.0
1.6484 0.9517 7.8025
-1.6484 0.9517 7.8025
0.0000 -1.9034 7.8025
P N Cl
1 1 2
Cartesian
0.0000 0.0000 0.0000
0.0000 0.0000 11.7038
0.0000 0.0000 9.7226
0.0000 0.0000 13.6849
```

Results
- formation energy without anion corrections (meV per atom) = 1513
- crystal system = trigonal
- density (g cm⁻³) = 2.620
- energy above the most stable polymorph in this dataset (meV/atom) = 2093

(5)
Material: PPbNCl2
Method: DFT, PBE
State: optimized geometry

The structure in POSCAR format:
```
PPbNCl2
1.0
5.4005 0.0000 0.0000
0.0000 5.4005 0.0000
0.0000 0.0000 5.5117
P Pb N Cl
1 1 1 2
Cartesian
0.0000 0.0000 0.0000
0.0000 0.0000 2.7558
2.7003 2.7003 0.0000
0.0000 2.7003 2.7558
2.7003 0.0000 2.7558
```

Results
- formation energy without anion corrections (meV per atom) = 1055
- crystal system = tetragonal
- density (g cm⁻³) = 3.337
- energy above the most stable polymorph in this dataset (meV/atom) = 758

(6)
Material: PPbNCl2
Method: DFT, PBE
State: optimized geometry

The structure in POSCAR format:
```
PPbNCl2
1.0
5.9447 0.0000 0.0000
0.0000 5.9447 0.0000
0.0000 0.0000 3.4468
P Pb N Cl
1 1 1 2
Cartesian
0.0000 0.0000 0.0000
2.9724 2.9724 0.0000
0.0000 0.0000 1.7234
0.0000 2.9724 1.7234
2.9724 0.0000 1.7234
```

Results
- formation energy without anion corrections (meV per atom) = 297
- crystal system = tetragonal
- density (g cm⁻³) = 4.404
- energy above the most stable polymorph in this dataset (meV/atom) = 0

(7)
Material: PPdNCl2
Method: DFT, PBE
State: optimized geometry

The structure in POSCAR format:
```
PPdNCl2
1.0
5.6013 0.0000 0.0000
0.0000 5.6013 0.0000
0.0000 0.0000 3.2094
P Pd N Cl
1 1 1 2
Cartesian
0.0000 0.0000 0.0000
2.8007 2.8007 0.0000
0.0000 0.0000 1.6047
0.0000 2.8007 1.6047
2.8007 0.0000 1.6047
```

Results
- formation energy without anion corrections (meV per atom) = 955
- crystal system = tetragonal
- density (g cm⁻³) = 3.666
- energy above the most stable polymorph in this dataset (meV/atom) = 0

(8)
Material: PPdNCl2
Method: DFT, PBE
State: optimized geometry

The structure in POSCAR format:
```
PPdNCl2
1.0
5.0697 0.0000 0.0000
0.0000 5.0697 0.0000
0.0000 0.0000 4.5004
P Pd N Cl
1 1 1 2
Cartesian
0.0000 0.0000 0.0000
0.0000 0.0000 2.2502
2.5348 2.5348 0.0000
0.0000 2.5348 2.2502
2.5348 0.0000 2.2502
```

Results
- formation energy without anion corrections (meV per atom) = 1184
- crystal system = tetragonal
- density (g cm⁻³) = 3.191
- energy above the most stable polymorph in this dataset (meV/atom) = 230

(9)
Material: Pm6P2N3Cl
Method: DFT, PBE
State: optimized geometry

The structure in POSCAR format:
```
Pm6P2N3Cl
1.0
8.4865 -1.9003 0.0000
8.4865 1.9003 0.0000
-2.1606 0.0000 7.5562
Pm P N Cl
6 2 3 1
Cartesian
-0.2994 0.0000 1.6467
4.5206 0.0000 3.2651
3.7748 0.0000 6.8332
11.0375 0.0000 0.7230
10.2918 0.0000 4.2911
15.1117 0.0000 5.9095
0.9694 0.0000 6.2350
13.8429 0.0000 1.3212
2.1294 0.0000 2.5455
8.4865 0.0000 0.0000
12.6829 0.0000 5.0107
7.4062 0.0000 3.7781
```

Results
- formation energy without anion corrections (meV per atom) = -1475
- crystal system = monoclinic
- density (g cm⁻³) = 6.878

(10)
Material: Pm6PN2Cl3
Method: DFT, PBE
State: optimized geometry

The structure in POSCAR format:
```
Pm6PN2Cl3
1.0
8.8938 -1.9091 0.0000
8.8938 1.9091 0.0000
-2.6845 0.0000 7.7928
Pm P N Cl
6 1 2 3
Cartesian
-0.2341 0.0000 1.9303
4.4416 0.0000 3.5094
3.6404 0.0000 6.7447
11.4627 0.0000 1.0481
10.6614 0.0000 4.2834
15.3371 0.0000 5.8625
8.8938 0.0000 0.0000
2.1495 0.0000 2.6490
12.9535 0.0000 5.1437
0.6843 0.0000 6.4692
7.5515 0.0000 3.8964
14.4188 0.0000 1.3236
```

Results
- formation energy without anion corrections (meV per atom) = -1540
- crystal system = monoclinic
- density (g cm⁻³) = 6.497

(11)
Material: Pr8P3NCl4
Method: DFT, PBE
State: optimized geometry

The structure in POSCAR format:
```
Pr8P3NCl4
1.0
4.0807 2.3560 7.0323
-4.0807 2.3560 7.0323
0.0000 -4.7120 7.0323
Pr P N Cl
8 3 1 4
Cartesian
0.0000 0.0000 5.0302
-1.8509 -1.0686 11.9806
0.0000 -2.1373 9.1162
-1.8509 1.0686 9.1162
1.8509 -1.0686 11.9806
0.0000 2.1373 11.9806
1.8509 1.0686 9.1162
0.0000 0.0000 16.0666
-4.0807 0.0000 10.5484
-2.0404 1.1780 3.5161
2.0404 1.1780 3.5161
0.0000 0.0000 10.5484
0.0000 0.0000 0.0000
-2.0404 -1.1780 7.0323
-2.0404 1.1780 14.0646
0.0000 2.3560 7.0323
```

Results
- formation energy without anion corrections (meV per atom) = -1568
- crystal system = trigonal
- density (g cm⁻³) = 5.633

(12)
Material: Pr4PNCl2
Method: DFT, PBE
State: optimized geometry

The structure in POSCAR format:
```
Pr4PNCl2
1.0
6.9374 0.0000 0.0000
0.0000 3.9379 0.0000
-2.3138 0.0000 7.0627
Pr P N Cl
4 1 1 2
Cartesian
0.9946 0.0000 1.3863
-0.2439 1.9690 5.6346
4.8675 1.9690 1.4281
3.6290 0.0000 5.6765
3.4687 0.0000 0.0000
0.0000 1.9690 0.0000
-1.1569 0.0000 3.5314
2.3118 1.9690 3.5314
```

Results
- formation energy without anion corrections (meV per atom) = -1531
- crystal system = monoclinic
- density (g cm⁻³) = 5.848

(13)
Material: PRhNCl2
Method: DFT, PBE
State: optimized geometry

The structure in POSCAR format:
```
PRhNCl2
1.0
5.5629 0.0000 0.0000
0.0000 5.5629 0.0000
0.0000 0.0000 3.2044
P Rh N Cl
1 1 1 2
Cartesian
0.0000 0.0000 0.0000
2.7814 2.7814 0.0000
0.0000 0.0000 1.6022
0.0000 2.7814 1.6022
2.7814 0.0000 1.6022
```

Results
- formation energy without anion corrections (meV per atom) = 1126
- crystal system = tetragonal
- density (g cm⁻³) = 3.664
- energy above the most stable polymorph in this dataset (meV/atom) = 0

(14)
Material: PRhNCl2
Method: DFT, PBE
State: optimized geometry

The structure in POSCAR format:
```
PRhNCl2
1.0
4.7510 0.0000 0.0000
0.0000 4.7510 0.0000
0.0000 0.0000 4.5213
P Rh N Cl
1 1 1 2
Cartesian
0.0000 0.0000 0.0000
0.0000 0.0000 2.2607
2.3755 2.3755 0.0000
0.0000 2.3755 2.2607
2.3755 0.0000 2.2607
```

Results
- formation energy without anion corrections (meV per atom) = 1458
- crystal system = tetragonal
- density (g cm⁻³) = 3.560
- energy above the most stable polymorph in this dataset (meV/atom) = 331

(15)
Material: PRuNCl2
Method: DFT, PBE
State: optimized geometry

The structure in POSCAR format:
```
PRuNCl2
1.0
5.5678 0.0000 0.0000
0.0000 5.5678 0.0000
0.0000 0.0000 3.2074
P Ru N Cl
1 1 1 2
Cartesian
0.0000 0.0000 0.0000
2.7839 2.7839 0.0000
0.0000 0.0000 1.6037
0.0000 2.7839 1.6037
2.7839 0.0000 1.6037
```

Results
- formation energy without anion corrections (meV per atom) = 1235
- crystal system = tetragonal
- density (g cm⁻³) = 3.623
- energy above the most stable polymorph in this dataset (meV/atom) = 0

(16)
Material: PRuNCl2
Method: DFT, PBE
State: optimized geometry

The structure in POSCAR format:
```
PRuNCl2
1.0
4.9267 0.0000 0.0000
0.0000 4.9267 0.0000
0.0000 0.0000 4.4500
P Ru N Cl
1 1 1 2
Cartesian
0.0000 0.0000 0.0000
0.0000 0.0000 2.2250
2.4634 2.4634 0.0000
0.0000 2.4634 2.2250
2.4634 0.0000 2.2250
```

Results
- formation energy without anion corrections (meV per atom) = 1314
- crystal system = tetragonal
- density (g cm⁻³) = 3.335
- energy above the most stable polymorph in this dataset (meV/atom) = 79

(17)
Material: PSNCl2
Method: DFT, PBE
State: optimized geometry

The structure in POSCAR format:
```
PSNCl2
1.0
4.7470 0.0000 0.0000
0.0000 4.7470 0.0000
0.0000 0.0000 5.0380
P S N Cl
1 1 1 2
Cartesian
0.0000 0.0000 0.0000
0.0000 0.0000 2.5190
2.3735 2.3735 0.0000
0.0000 2.3735 2.5190
2.3735 0.0000 2.5190
```

Results
- formation energy without anion corrections (meV per atom) = 1493
- crystal system = tetragonal
- density (g cm⁻³) = 2.164
- energy above the most stable polymorph in this dataset (meV/atom) = 353

(18)
Material: PSN2Cl
Method: DFT, PBE
State: optimized geometry

The structure in POSCAR format:
```
PSN2Cl
1.0
3.7937 0.0000 0.0000
0.0000 3.7937 0.0000
0.0000 0.0000 4.6347
P S N Cl
1 1 2 1
Cartesian
0.0000 0.0000 0.0000
1.8969 1.8969 0.0000
0.0000 1.8969 2.3174
1.8969 0.0000 2.3174
1.8969 1.8969 2.3174
```

Results
- formation energy without anion corrections (meV per atom) = 2470
- crystal system = tetragonal
- density (g cm⁻³) = 3.149
- energy above the most stable polymorph in this dataset (meV/atom) = 1539

(19)
Material: PSNCl2
Method: DFT, PBE
State: optimized geometry

The structure in POSCAR format:
```
PSNCl2
1.0
4.1873 0.0000 0.0000
0.0000 4.1873 0.0000
0.0000 0.0000 4.5656
P S N Cl
1 1 1 2
Cartesian
0.0000 0.0000 0.0000
2.0936 2.0936 0.0000
2.0936 2.0936 2.2828
0.0000 2.0936 2.2828
2.0936 0.0000 2.2828
```

Results
- formation energy without anion corrections (meV per atom) = 1356
- crystal system = tetragonal
- density (g cm⁻³) = 3.069
- energy above the most stable polymorph in this dataset (meV/atom) = 215

(20)
Material: PSNCl2
Method: DFT, PBE
State: optimized geometry

The structure in POSCAR format:
```
PSNCl2
1.0
4.8541 0.0000 0.0000
0.0000 4.8541 0.0000
0.0000 0.0000 4.5105
P S N Cl
1 1 1 2
Cartesian
0.0000 0.0000 0.0000
0.0000 0.0000 2.2553
2.4271 2.4271 2.2553
0.0000 2.4271 0.0000
2.4271 0.0000 0.0000
```

Results
- formation energy without anion corrections (meV per atom) = 1141
- crystal system = tetragonal
- density (g cm⁻³) = 2.312
- energy above the most stable polymorph in this dataset (meV/atom) = 0

(21)
Material: PSN2Cl
Method: DFT, PBE
State: optimized geometry

The structure in POSCAR format:
```
PSN2Cl
1.0
3.3720 0.0000 0.0000
0.0000 3.3720 0.0000
0.0000 0.0000 5.7824
P S N Cl
1 1 2 1
Cartesian
0.0000 0.0000 0.0000
0.0000 0.0000 2.8912
0.0000 1.6860 0.0000
1.6860 0.0000 0.0000
1.6860 1.6860 2.8912
```

Results
- formation energy without anion corrections (meV per atom) = 932
- crystal system = tetragonal
- density (g cm⁻³) = 3.195
- energy above the most stable polymorph in this dataset (meV/atom) = 0

(22)
Material: PSNCl2
Method: DFT, PBE
State: optimized geometry

The structure in POSCAR format:
```
PSNCl2
1.0
4.2093 0.0000 0.0000
0.0000 4.2093 0.0000
0.0000 0.0000 4.5379
P S N Cl
1 1 1 2
Cartesian
0.0000 0.0000 0.0000
2.1047 2.1047 0.0000
0.0000 0.0000 2.2689
0.0000 2.1047 2.2689
2.1047 0.0000 2.2689
```

Results
- formation energy without anion corrections (meV per atom) = 1342
- crystal system = tetragonal
- density (g cm⁻³) = 3.056
- energy above the most stable polymorph in this dataset (meV/atom) = 201

(23)
Material: SbPNCl2
Method: DFT, PBE
State: optimized geometry

The structure in POSCAR format:
```
SbPNCl2
1.0
4.2860 0.0000 0.0000
0.0000 4.2860 0.0000
0.0000 0.0000 4.7388
Sb P N Cl
1 1 1 2
Cartesian
0.0000 0.0000 0.0000
2.1430 2.1430 0.0000
2.1430 2.1430 2.3694
0.0000 2.1430 2.3694
2.1430 0.0000 2.3694
```

Results
- formation energy without anion corrections (meV per atom) = 933
- crystal system = tetragonal
- density (g cm⁻³) = 4.533
- energy above the most stable polymorph in this dataset (meV/atom) = 0

(24)
Material: SbPNCl2
Method: DFT, PBE
State: optimized geometry

The structure in POSCAR format:
```
SbPNCl2
1.0
5.3388 0.0000 0.0000
0.0000 5.3388 0.0000
0.0000 0.0000 5.3015
Sb P N Cl
1 1 1 2
Cartesian
0.0000 0.0000 0.0000
0.0000 0.0000 2.6508
2.6694 2.6694 2.6508
0.0000 2.6694 0.0000
2.6694 0.0000 0.0000
```

Results
- formation energy without anion corrections (meV per atom) = 1196
- crystal system = tetragonal
- density (g cm⁻³) = 2.612
- energy above the most stable polymorph in this dataset (meV/atom) = 263

Computed values of magnetic moment (unit: μB/f.u.) for the preceding records, in sequence: 0.0, 0.0, 0.1, 1.4, 0.9, 0.0, 1.1, 3.0, 0.0, 0.0, 0.0, 0.0, 2.0, 0.0, 3.0, 1.2, 1.0, 0.5, 0.0, 2.4, 0.2, 0.0, 0.0, 3.1.